# GGA-PBE Ba2Li4GeSb3, optimized geometry
data_Ba2Li4GeSb3
_symmetry_space_group_name_H-M 'P -4 m 2'
_symmetry_Int_Tables_number 115
_cell_length_a 4.665
_cell_length_b 4.665
_cell_length_c 11.946
_cell_angle_alpha 90.00
_cell_angle_beta 90.00
_cell_angle_gamma 90.00
loop_
_symmetry_equiv_pos_as_xyz
'x,y,z'
'y,-x,-z'
'-x,-y,z'
'-y,x,-z'
'-x,y,z'
'-y,-x,-z'
'x,-y,z'
'y,x,-z'
loop_
_atom_site_label
_atom_site_type_symbol
_atom_site_fract_x
_atom_site_fract_y
_atom_site_fract_z
_atom_site_occupancy
Ba1 Ba 0.000 0.500 0.246 1
Li1 Li 0.000 0.000 0.000 1
Li2 Li 0.000 0.500 0.633 1
Li3 Li 0.500 0.500 0.000 1
Ge1 Ge 0.000 0.000 0.500 1
Sb1 Sb 0.000 0.500 0.865 1
Sb2 Sb 0.500 0.500 0.500 1
# ΔE_f (raw) = -701.9 meV per atom
# Mass density = 4.7 g/cm³
# Electronic total energy = -35.50 eV/f.u.